The following is a DFT calculation (GGA+U) of an optimized crystal structure of ThCr2ReO8.

Lattice parameters (Å, degrees): 4.752 4.752 6.571 90.00 90.00 90.34
Sites, in units of the cell vectors:
Th1 0.000 0.000 0.000
Cr1 0.500 0.500 0.257
Cr2 0.500 0.500 0.743
Re1 0.000 0.000 0.500
O1 0.200 0.200 0.288
O2 0.200 0.200 0.712
O3 0.289 0.711 0.500
O4 0.325 0.675 0.000
O5 0.675 0.325 0.000
O6 0.711 0.289 0.500
O7 0.800 0.800 0.288
O8 0.800 0.800 0.712

Computed properties:
VASP energy, eV per atom: -8.363
Theoretical density, g/cm³: 7.3